Entry from Alexandria: crystalline SnSb2W at its relaxed geometry (GGA-PBE).

Cell lengths 7.897, 7.897, 7.897 Å; angles 131.03, 131.03, 71.76 degrees
Positions (direct):
Sn: 0.000 0.000 0.000
Sn: 0.750 0.250 0.500
Sb: 0.168 0.625 0.043
Sb: 0.375 0.418 0.543
Sb: 0.582 0.125 0.957
Sb: 0.875 0.832 0.457
W: 0.250 0.750 0.500
W: 0.500 0.500 0.000

* Fermi-level density of states: 0.485 states/eV/atom
* SG: I-42d, No. 122
* E_form (uncorrected): 0.784 eV per atom